No. 1
Computed, not measured: a geometry-optimized PuGa2Au4 structure at the PBE level of DFT.

Calculated values
The value obtained for the distance to the lowest polymorph of the same formula is 0.026 eV/atom. Its space group is C2/m, No. 12.

Unit cell a=5.7662 b=5.4213 c=5.7662 alpha=119.29 beta=103.66 gamma=60.71
Fractional positions:
Ga1 0.4991 0.2512 0.5009
Ga2 0.5009 0.7488 0.4991
Au1 0.6034 0.6973 0.0007
Au2 0.3966 0.3027 0.9993
Au3 0.9993 0.6973 0.3966
Au4 0.0007 0.3027 0.6034
Pu1 0.0000 0.0000 0.0000

No. 2
Computed, not measured: a geometry-optimized NaCoAgAs structure at the PBE level of DFT.

Calculated values
Its space group is P4/nmm, No. 129.

Unit cell a=3.8507 b=3.8507 c=10.5169 alpha=90.00 beta=90.00 gamma=90.00
Fractional positions:
As1 0.2500 0.2500 0.1241
Co1 0.7500 0.2500 0.0000
Ag1 0.2500 0.7500 0.5000
Na1 0.7500 0.7500 0.2566
As2 0.7500 0.7500 0.8759
Ag2 0.7500 0.2500 0.5000
Co2 0.2500 0.7500 0.0000
Na2 0.2500 0.2500 0.7434

Calculated size of the total moment (μB/cell), listed in the same order as above: 5.5 0.3
Calculated formation enthalpy at 0 K (eV per atom), listed in the same order as above: -0.29 -0.20
Calculated total DFT energy (no corrections) (eV per atom), listed in the same order as above: -5.080 -4.177